(1)
## Ba4SbHPb (PBE)

Data for a relaxed Ba4SbHPb crystal.

Output
Density = 5.4 g/cm3
Uncorrected energy = -3.382 eV per atom

Geometry as CIF:
```
data_Ba4SbHPb
_chemical_formula_sum 'Ba8 Sb2 H2 Pb2'
_space_group_name_H-M_alt 'P 1'
_space_group_IT_number 1
_cell_length_a 7.5654
_cell_length_b 7.5381
_cell_length_c 10.2662
_cell_angle_alpha 90.00
_cell_angle_beta 111.62
_cell_angle_gamma 90.00
loop_
_space_group_symop_operation_xyz
'x,y,z'
loop_
_atom_site_label
_atom_site_fract_x
_atom_site_fract_y
_atom_site_fract_z
_atom_site_occupancy
Ba1 0.9291 0.2500 0.8583 1
Ba2 0.4340 0.7500 0.8680 1
Ba3 0.0709 0.7500 0.1417 1
Ba4 0.5660 0.2500 0.1320 1
Ba5 0.5000 0.5000 0.5000 1
Ba6 0.0000 0.0000 0.5000 1
Ba7 0.5000 0.0000 0.5000 1
Ba8 0.0000 0.5000 0.5000 1
Sb1 0.1177 0.2500 0.2353 1
Sb2 0.8823 0.7500 0.7647 1
H1 0.2251 0.7500 0.4503 1
H2 0.7749 0.2500 0.5497 1
Pb1 0.6186 0.7500 0.2371 1
Pb2 0.3814 0.2500 0.7629 1
```

---

(2)
## MgPaAgS4 (PBE)

Data for a relaxed MgPaAgS4 crystal.

Output
Density = 4.9 g/cm3
Uncorrected formation energy = -1202 meV per atom

Geometry as CIF:
```
data_MgPaAgS4
_chemical_formula_sum 'Mg2 Pa2 Ag2 S8'
_space_group_name_H-M_alt 'P 1'
_space_group_IT_number 1
_cell_length_a 8.1661
_cell_length_b 7.7014
_cell_length_c 7.6248
_cell_angle_alpha 119.67
_cell_angle_beta 90.00
_cell_angle_gamma 122.02
loop_
_space_group_symop_operation_xyz
'x,y,z'
loop_
_atom_site_label
_atom_site_fract_x
_atom_site_fract_y
_atom_site_fract_z
_atom_site_occupancy
Mg1 0.5000 0.0000 0.5000 1
Mg2 0.5000 0.0000 0.0000 1
Pa1 0.5000 0.5000 0.5000 1
Pa2 0.0000 0.5000 0.5000 1
Ag1 0.9092 0.8184 0.1592 1
Ag2 0.0908 0.1816 0.8408 1
S1 0.7529 0.5059 0.7323 1
S2 0.2889 0.0095 0.2548 1
S3 0.7206 0.0095 0.2548 1
S4 0.7529 0.5059 0.2736 1
S5 0.2471 0.4941 0.7264 1
S6 0.7111 0.9905 0.7452 1
S7 0.2794 0.9905 0.7452 1
S8 0.2471 0.4941 0.2677 1
```

---

(3)
## YSb2Mo2 (PBE)

Data for a relaxed YSb2Mo2 crystal.

Output
Density = 7.5 g/cm3
Uncorrected formation energy = -65 meV per atom

Geometry as CIF:
```
data_YSb2Mo2
_chemical_formula_sum 'Y1 Sb2 Mo2'
_space_group_name_H-M_alt 'P 1'
_space_group_IT_number 1
_cell_length_a 5.0569
_cell_length_b 5.0569
_cell_length_c 5.7601
_cell_angle_alpha 63.96
_cell_angle_beta 63.96
_cell_angle_gamma 90.00
loop_
_space_group_symop_operation_xyz
'x,y,z'
loop_
_atom_site_label
_atom_site_fract_x
_atom_site_fract_y
_atom_site_fract_z
_atom_site_occupancy
Y1 0.0000 0.0000 0.0000 1
Sb1 0.7500 0.2500 0.5000 1
Sb2 0.2500 0.7500 0.5000 1
Mo1 0.3774 0.3774 0.2452 1
Mo2 0.6226 0.6226 0.7548 1
```

---

(4)
## Ho2Al2Si2C (PBE)

Data for a relaxed Ho2Al2Si2C crystal.

Output
Density = 6.1 g/cm3
Uncorrected formation energy = -442 meV per atom

Geometry as CIF:
```
data_Ho2Al2Si2C
_chemical_formula_sum 'Ho2 Al2 Si2 C1'
_space_group_name_H-M_alt 'P 1'
_space_group_IT_number 1
_cell_length_a 4.1026
_cell_length_b 4.1026
_cell_length_c 7.8819
_cell_angle_alpha 105.09
_cell_angle_beta 105.09
_cell_angle_gamma 90.00
loop_
_space_group_symop_operation_xyz
'x,y,z'
loop_
_atom_site_label
_atom_site_fract_x
_atom_site_fract_y
_atom_site_fract_z
_atom_site_occupancy
Ho1 0.1620 0.1620 0.3240 1
Ho2 0.8380 0.8380 0.6760 1
Al1 0.0000 0.5000 0.0000 1
Al2 0.5000 0.0000 0.0000 1
Si1 0.3699 0.3699 0.7397 1
Si2 0.6301 0.6301 0.2603 1
C1 0.0000 0.0000 0.0000 1
```

---

(5)
## Ac11Cd9Cu4 (PBE)

Data for a relaxed Ac11Cd9Cu4 crystal.

Output
Density = 8.4 g/cm3
Uncorrected energy = -3.159 eV per atom

Geometry as CIF:
```
data_Ac11Cd9Cu4
_chemical_formula_sum 'Ac11 Cd9 Cu4'
_space_group_name_H-M_alt 'P 1'
_space_group_IT_number 1
_cell_length_a 4.0444
_cell_length_b 14.1149
_cell_length_c 14.1149
_cell_angle_alpha 112.91
_cell_angle_beta 90.00
_cell_angle_gamma 90.00
loop_
_space_group_symop_operation_xyz
'x,y,z'
loop_
_atom_site_label
_atom_site_fract_x
_atom_site_fract_y
_atom_site_fract_z
_atom_site_occupancy
Ac1 0.0000 0.5839 0.9251 1
Ac2 0.0000 0.4161 0.0749 1
Ac3 0.0000 0.9251 0.5839 1
Ac4 0.0000 0.0749 0.4161 1
Ac5 0.0000 0.6276 0.3724 1
Ac6 0.0000 0.3724 0.6276 1
Ac7 0.0000 0.8352 0.1648 1
Ac8 0.0000 0.1648 0.8352 1
Ac9 0.0000 0.0000 0.0000 1
Ac10 0.0000 0.6936 0.6936 1
Ac11 0.0000 0.3064 0.3064 1
Cd1 0.5000 0.6334 0.1624 1
Cd2 0.5000 0.3666 0.8376 1
Cd3 0.5000 0.1624 0.6334 1
Cd4 0.5000 0.8376 0.3666 1
Cd5 0.5000 0.7829 0.9242 1
Cd6 0.5000 0.2171 0.0758 1
Cd7 0.5000 0.9242 0.7829 1
Cd8 0.5000 0.0758 0.2171 1
Cd9 0.5000 0.5000 0.5000 1
Cu1 0.5000 0.5507 0.7485 1
Cu2 0.5000 0.4493 0.2515 1
Cu3 0.5000 0.7485 0.5507 1
Cu4 0.5000 0.2515 0.4493 1
```

---

(6)
## LaSb2Au2 (PBE)

Data for a relaxed LaSb2Au2 crystal.

Output
Density = 10.4 g/cm3
Uncorrected formation energy = -606 meV per atom

Geometry as CIF:
```
data_LaSb2Au2
_chemical_formula_sum 'La2 Sb4 Au4'
_space_group_name_H-M_alt 'P 1'
_space_group_IT_number 1
_cell_length_a 4.5324
_cell_length_b 4.5076
_cell_length_c 12.3511
_cell_angle_alpha 90.00
_cell_angle_beta 100.57
_cell_angle_gamma 90.00
loop_
_space_group_symop_operation_xyz
'x,y,z'
loop_
_atom_site_label
_atom_site_fract_x
_atom_site_fract_y
_atom_site_fract_z
_atom_site_occupancy
La1 0.3545 0.2500 0.7089 1
La2 0.6455 0.7500 0.2911 1
Sb1 0.7497 0.2500 0.4993 1
Sb2 0.2503 0.7500 0.5007 1
Sb3 0.8884 0.7500 0.7767 1
Sb4 0.1116 0.2500 0.2233 1
Au1 0.0391 0.7500 0.0782 1
Au2 0.4606 0.7500 0.9213 1
Au3 0.9609 0.2500 0.9218 1
Au4 0.5394 0.2500 0.0787 1
```

---

(7)
## Au4BrCl (PBE)

Data for a relaxed Au4BrCl crystal.

Output
Density = 11.7 g/cm3
Uncorrected formation energy = 322 meV per atom

Geometry as CIF:
```
data_Au4BrCl
_chemical_formula_sum 'Au4 Br1 Cl1'
_space_group_name_H-M_alt 'P 1'
_space_group_IT_number 1
_cell_length_a 5.6565
_cell_length_b 5.6565
_cell_length_c 5.6565
_cell_angle_alpha 60.00
_cell_angle_beta 60.00
_cell_angle_gamma 60.00
loop_
_space_group_symop_operation_xyz
'x,y,z'
loop_
_atom_site_label
_atom_site_fract_x
_atom_site_fract_y
_atom_site_fract_z
_atom_site_occupancy
Au1 0.8772 0.3743 0.3743 1
Au2 0.3743 0.3743 0.8772 1
Au3 0.3743 0.8772 0.3743 1
Au4 0.3743 0.3743 0.3743 1
Br1 0.7500 0.7500 0.7500 1
Cl1 0.0000 0.0000 0.0000 1
```

---

(8)
## ErAgPt (PBE)

Data for a relaxed ErAgPt crystal.

Output
Density = 11.1 g/cm3
Energy above the lowest structure with this stoichiometry = 0.38 eV per formula unit

Geometry as CIF:
```
data_ErAgPt
_chemical_formula_sum 'Er1 Ag1 Pt1'
_space_group_name_H-M_alt 'P 1'
_space_group_IT_number 1
_cell_length_a 4.6274
_cell_length_b 4.6274
_cell_length_c 4.6274
_cell_angle_alpha 60.00
_cell_angle_beta 60.00
_cell_angle_gamma 60.00
loop_
_space_group_symop_operation_xyz
'x,y,z'
loop_
_atom_site_label
_atom_site_fract_x
_atom_site_fract_y
_atom_site_fract_z
_atom_site_occupancy
Ag1 0.0000 0.0000 0.0000 1
Pt1 0.2500 0.2500 0.2500 1
Er1 0.5000 0.5000 0.5000 1
```

---

(9)
## MnTeSe3 (PBE)

Data for a relaxed MnTeSe3 crystal.

Output
Density = 6.6 g/cm3
Energy above the lowest structure with this stoichiometry = 0.00 eV per formula unit
Uncorrected formation energy = 298 meV per atom

Geometry as CIF:
```
data_MnTeSe3
_chemical_formula_sum 'Mn1 Te1 Se3'
_space_group_name_H-M_alt 'P 1'
_space_group_IT_number 1
_cell_length_a 4.7334
_cell_length_b 4.7334
_cell_length_c 4.7334
_cell_angle_alpha 90.00
_cell_angle_beta 90.00
_cell_angle_gamma 90.00
loop_
_space_group_symop_operation_xyz
'x,y,z'
loop_
_atom_site_label
_atom_site_fract_x
_atom_site_fract_y
_atom_site_fract_z
_atom_site_occupancy
Mn1 0.0000 0.0000 0.0000 1
Te1 0.5000 0.5000 0.5000 1
Se1 0.0000 0.5000 0.0000 1
Se2 0.0000 0.0000 0.5000 1
Se3 0.5000 0.0000 0.0000 1
```

---

(10)
## Nd2Ag2Ge3 (PBE)

Data for a relaxed Nd2Ag2Ge3 crystal.

Output
Density = 7.8 g/cm3
Uncorrected energy = -4.729 eV per atom

Geometry as CIF:
```
data_Nd2Ag2Ge3
_chemical_formula_sum 'Nd4 Ag4 Ge6'
_space_group_name_H-M_alt 'P 1'
_space_group_IT_number 1
_cell_length_a 4.4717
_cell_length_b 7.2029
_cell_length_c 9.7476
_cell_angle_alpha 90.00
_cell_angle_beta 103.26
_cell_angle_gamma 90.00
loop_
_space_group_symop_operation_xyz
'x,y,z'
loop_
_atom_site_label
_atom_site_fract_x
_atom_site_fract_y
_atom_site_fract_z
_atom_site_occupancy
Nd1 0.1539 0.2500 0.3077 1
Nd2 0.8461 0.7500 0.6923 1
Nd3 0.9478 0.2500 0.8957 1
Nd4 0.0522 0.7500 0.1043 1
Ag1 0.6897 0.9452 0.3794 1
Ag2 0.3103 0.0548 0.6206 1
Ag3 0.3103 0.4452 0.6206 1
Ag4 0.6897 0.5548 0.3794 1
Ge1 0.2220 0.7500 0.4439 1
Ge2 0.7780 0.2500 0.5561 1
Ge3 0.5598 0.4294 0.1197 1
Ge4 0.4402 0.5706 0.8803 1
Ge5 0.4402 0.9294 0.8803 1
Ge6 0.5598 0.0706 0.1197 1
```

---

(11)
## La3As6Pd20 (PBE)

Data for a relaxed La3As6Pd20 crystal.

Output
Density = 9.7 g/cm3
Uncorrected energy = -5.658 eV per atom

Geometry as CIF:
```
data_La3As6Pd20
_chemical_formula_sum 'La3 As6 Pd20'
_space_group_name_H-M_alt 'P 1'
_space_group_IT_number 1
_cell_length_a 8.9787
_cell_length_b 8.9787
_cell_length_c 8.9787
_cell_angle_alpha 60.00
_cell_angle_beta 60.00
_cell_angle_gamma 60.00
loop_
_space_group_symop_operation_xyz
'x,y,z'
loop_
_atom_site_label
_atom_site_fract_x
_atom_site_fract_y
_atom_site_fract_z
_atom_site_occupancy
La1 0.7500 0.7500 0.7500 1
La2 0.2500 0.2500 0.2500 1
La3 0.0000 0.0000 0.0000 1
As1 0.2641 0.7359 0.7359 1
As2 0.7359 0.2641 0.2641 1
As3 0.2641 0.2641 0.7359 1
As4 0.7359 0.2641 0.7359 1
As5 0.2641 0.7359 0.2641 1
As6 0.7359 0.7359 0.2641 1
Pd1 0.3841 0.3841 0.8478 1
Pd2 0.1522 0.6159 0.6159 1
Pd3 0.6501 0.0000 0.0000 1
Pd4 0.6501 0.3499 0.0000 1
Pd5 0.0000 0.0000 0.6501 1
Pd6 0.3841 0.8478 0.3841 1
Pd7 0.0000 0.3499 0.6501 1
Pd8 0.6501 0.0000 0.3499 1
Pd9 0.0000 0.6501 0.0000 1
Pd10 0.0000 0.0000 0.3499 1
Pd11 0.3499 0.0000 0.6501 1
Pd12 0.0000 0.3499 0.0000 1
Pd13 0.3499 0.6501 0.0000 1
Pd14 0.3499 0.0000 0.0000 1
Pd15 0.3841 0.3841 0.3841 1
Pd16 0.6159 0.6159 0.1522 1
Pd17 0.6159 0.6159 0.6159 1
Pd18 0.6159 0.1522 0.6159 1
Pd19 0.8478 0.3841 0.3841 1
Pd20 0.0000 0.6501 0.3499 1
```

---

(12)
## CsMgP2 (PBE)

Data for a relaxed CsMgP2 crystal.

Output
Density = 3.0 g/cm3
Uncorrected energy = -3.471 eV per atom

Geometry as CIF:
```
data_CsMgP2
_chemical_formula_sum 'Cs2 Mg2 P4'
_space_group_name_H-M_alt 'P 1'
_space_group_IT_number 1
_cell_length_a 5.3169
_cell_length_b 5.3169
_cell_length_c 9.3412
_cell_angle_alpha 73.47
_cell_angle_beta 73.47
_cell_angle_gamma 90.00
loop_
_space_group_symop_operation_xyz
'x,y,z'
loop_
_atom_site_label
_atom_site_fract_x
_atom_site_fract_y
_atom_site_fract_z
_atom_site_occupancy
Cs1 0.0000 0.0000 0.0000 1
Cs2 0.7500 0.2500 0.5000 1
P1 0.3749 0.1250 0.2500 1
P2 0.3751 0.6250 0.2500 1
P3 0.3750 0.6251 0.7500 1
P4 0.8750 0.6249 0.7500 1
Mg1 0.5000 0.5000 0.0000 1
Mg2 0.2500 0.7500 0.5000 1
```